Entry 1:
VASP calculation (GGA-PBE) on ZnPt2Br after structural relaxation.

Its uncorrected energy is -3.58 eV per atom. As for the crystal system: monoclinic.

The structure belongs to space group C2/m (No. 12); the cell edges are 5.659, 9.025 and 3.903 Å and the angles 90.00°, 133.31° and 90.00°. The distinct sites, in fractional coordinates, are Zn at (0.000, 0.000, 0.000), Pt at (0.250, 0.250, 0.500) and Br at (0.000, 0.500, 0.000).

Entry 2:
VASP calculation (GGA-PBE) on Zn2PtBr after structural relaxation.

Its uncorrected energy is -2.46 eV per atom. As for the crystal system: tetragonal.

The structure belongs to space group I-4m2 (No. 119); the cell edges are 3.637, 3.637 and 12.198 Å and the angles 90.00°, 90.00° and 90.00°. The distinct sites, in fractional coordinates, are Zn at (0.000, 0.000, 0.000), Zn at (0.000, 0.500, 0.250), Pt at (0.000, 0.000, 0.500) and Br at (0.000, 0.500, 0.750).

Entry 3:
VASP calculation (GGA-PBE) on ZnPtBr2 after structural relaxation.

Its uncorrected energy is -2.76 eV per atom. As for the crystal system: tetragonal.

The structure belongs to space group P4mm (No. 99); the cell edges are 3.569, 3.569 and 7.538 Å and the angles 90.00°, 90.00° and 90.00°. The distinct sites, in fractional coordinates, are Zn at (0.000, 0.000, 0.000), Pt at (0.500, 0.500, 0.903), Br at (0.000, 0.000, 0.659) and Br at (0.500, 0.500, 0.231).

Entry 4:
VASP calculation (GGA-PBE) on ZnPtBr2 after structural relaxation.

Its uncorrected energy is -2.77 eV per atom. As for the crystal system: trigonal.

The structure belongs to space group R3m (No. 160, hexagonal axes); the cell edges are 3.7810, 3.7810 and 24.1317 Å and the angles 90.00°, 90.00° and 120.00°. The distinct sites, in fractional coordinates, are Zn at (0.0000, 0.0000, 0.0000), Pt at (0.0000, 0.0000, 0.7302), Br at (0.0000, 0.0000, 0.2704) and Br at (0.0000, 0.0000, 0.4565).

Entry 5:
VASP calculation (GGA-PBE) on ZnPt2Br after structural relaxation.

Its uncorrected energy is -3.64 eV per atom. As for the crystal system: orthorhombic.

The structure belongs to space group Cmmm (No. 65); the cell edges are 5.524, 6.163 and 4.360 Å and the angles 90.00°, 90.00° and 90.00°. The distinct sites, in fractional coordinates, are Zn at (0.000, 0.000, 0.000), Pt at (0.000, 0.221, 0.500) and Br at (0.000, 0.500, 0.000).

Entry 6:
VASP calculation (GGA-PBE) on ZnPt2Br after structural relaxation.

Its uncorrected energy is -3.83 eV per atom. As for the crystal system: monoclinic.

The structure belongs to space group Cm (No. 8); the cell edges are 14.855, 2.931 and 3.582 Å and the angles 90.00°, 90.14° and 90.00°. The distinct sites, in fractional coordinates, are Zn at (0.000, 0.000, 0.000), Pt at (0.091, 0.500, 0.500), Pt at (0.412, 0.000, 0.501) and Br at (0.245, 0.000, 0.581).

Entry 7:
VASP calculation (GGA-PBE) on ZnPtBr2 after structural relaxation.

Its uncorrected energy is -2.78 eV per atom. As for the crystal system: orthorhombic.

The structure belongs to space group Cmm2 (No. 35); the cell edges are 3.417, 7.576 and 9.001 Å and the angles 90.00°, 90.00° and 90.00°. The distinct sites, in fractional coordinates, are Zn at (0.000, 0.000, 0.000), Pt at (0.000, 0.500, 0.213), Br at (0.000, 0.000, 0.405) and Br at (0.000, 0.500, 0.802).

Entry 8:
VASP calculation (GGA-PBE) on ZnPt2Br after structural relaxation.

Its uncorrected energy is -3.55 eV per atom. As for the crystal system: tetragonal.

The structure belongs to space group I-42d (No. 122); the cell edges are 4.011, 4.011 and 18.121 Å and the angles 90.00°, 90.00° and 90.00°. The distinct sites, in fractional coordinates, are Zn at (0.000, 0.000, 0.000), Pt at (0.238, 0.250, 0.125) and Br at (0.000, 0.000, 0.500).

Asked for calculated density across the records above, the calculation gives 12.3 8.4 7.3 7.0 12.0 11.4 6.0 12.2 g/cm3 in order.
Asked for raw formation energy across the records above, the calculation gives 181 101 -91 -109 117 -72 -111 207 meV per atom in order.